[1]
PBE ZnTeAuI2, relaxed; uncorrected formation energy = 0.390 eV/atom; total moment = 0.00 μB/atom; calculated total energy = -0.065 Ha/atom
1.0
5.608 0.000 0.000
0.000 5.608 0.000
0.000 0.000 5.634
Zn Te Au I
1 1 1 2
Direct
0.000 0.000 0.000
0.500 0.500 0.000
0.500 0.500 0.500
0.000 0.500 0.500
0.500 0.000 0.500

=====

[2]
PBE SiAgHg2, relaxed; uncorrected formation energy = 0.355 eV/atom; total moment = 0.00 μB/atom; calculated total energy = -0.069 Ha/atom
1.0
3.066 0.000 0.000
0.000 3.066 0.000
0.000 0.000 8.681
Si Ag Hg
1 1 2
Direct
0.000 0.000 0.000
0.000 0.000 0.500
0.500 0.500 0.247
0.500 0.500 0.753

=====

[3]
PBE Er5ScSe6, relaxed; uncorrected formation energy = -1.675 eV/atom; total moment = 0.00 μB/atom; calculated total energy = -0.215 Ha/atom
1.0
3.474 -6.032 0.000
3.474 6.032 0.000
-2.329 0.000 6.535
Er Sc Se
5 1 6
Direct
0.000 0.000 0.000
0.166 0.834 0.500
0.329 0.671 0.000
0.671 0.329 0.000
0.834 0.166 0.500
0.500 0.500 0.500
0.092 0.419 0.255
0.257 0.257 0.749
0.419 0.092 0.255
0.581 0.908 0.745
0.743 0.743 0.251
0.908 0.581 0.745

=====

[4]
PBE As2RuSe, relaxed; uncorrected formation energy = 0.025 eV/atom; total moment = 0.00 μB/atom; calculated total energy = -0.202 Ha/atom
1.0
4.251 -1.759 0.000
4.251 1.759 0.000
-1.770 0.000 5.300
As Ru Se
2 1 1
Direct
0.000 0.000 0.000
0.144 0.144 0.659
0.708 0.708 0.008
0.340 0.340 0.358

=====

[5]
PBE K3HgAu3, relaxed; total moment = 0.00 μB/atom; formation energy from the elements = -305 meV/atom; calculated total energy = -0.082 Ha/atom
1.0
6.037 -2.428 0.000
6.037 2.428 0.000
-5.918 0.000 15.180
K Hg Au
6 2 6
Direct
0.029 0.029 0.381
0.106 0.106 0.925
0.247 0.247 0.229
0.753 0.753 0.771
0.894 0.894 0.075
0.971 0.971 0.619
0.255 0.255 0.600
0.745 0.745 0.400
0.377 0.377 0.460
0.394 0.394 0.922
0.460 0.460 0.768
0.540 0.540 0.232
0.606 0.606 0.078
0.623 0.623 0.540

=====

[6]
PBE CaB2AsO6, relaxed; uncorrected formation energy = -2.099 eV/atom; total moment = 0.00 μB/atom; calculated total energy = -0.260 Ha/atom
1.0
4.179 -4.594 0.000
4.179 4.594 0.000
-1.742 0.000 5.853
Ca B As O
2 4 2 12
Direct
0.112 0.888 0.750
0.888 0.112 0.250
0.199 0.380 0.785
0.380 0.199 0.285
0.620 0.801 0.715
0.801 0.620 0.215
0.316 0.684 0.250
0.684 0.316 0.750
0.004 0.741 0.334
0.217 0.592 0.911
0.256 0.370 0.260
0.259 0.996 0.166
0.370 0.256 0.760
0.408 0.783 0.589
0.592 0.217 0.411
0.630 0.744 0.240
0.741 0.004 0.834
0.744 0.630 0.740
0.783 0.408 0.089
0.996 0.259 0.666

=====

[7]
PBE MgVBi, relaxed; total moment = 0.09 μB/atom; formation energy from the elements = 96 meV/atom; calculated total energy = -0.175 Ha/atom
1.0
4.257 0.000 0.000
0.000 4.257 0.000
0.000 0.000 7.037
Mg V Bi
2 2 2
Direct
0.250 0.250 0.211
0.750 0.750 0.789
0.250 0.750 0.500
0.750 0.250 0.500
0.250 0.250 0.778
0.750 0.750 0.222

=====

[8]
PBE HgRu2Cl, relaxed; uncorrected formation energy = 0.561 eV/atom; total moment = 0.00 μB/atom; calculated total energy = -0.170 Ha/atom
1.0
5.314 -1.446 0.000
5.314 1.446 0.000
-0.595 0.000 5.072
Hg Ru Cl
1 2 1
Direct
0.000 0.000 0.000
0.583 0.583 0.464
0.881 0.881 0.486
0.241 0.241 0.693

=====

[9]
PBE Tm2BeOs, relaxed; total moment = 0.00 μB/atom; formation energy from the elements = -147 meV/atom; calculated total energy = -0.225 Ha/atom
1.0
0.000 3.365 3.365
3.365 0.000 3.365
3.365 3.365 0.000
Tm Be Os
2 1 1
Direct
0.250 0.250 0.250
0.750 0.750 0.750
0.000 0.000 0.000
0.500 0.500 0.500

=====

[10]
PBE K2CaZrTe4, relaxed; uncorrected formation energy = -1.161 eV/atom; total moment = 0.00 μB/atom; calculated total energy = -0.159 Ha/atom
1.0
7.785 0.000 0.000
0.000 4.406 0.000
-2.478 0.000 8.196
K Ca Zr Te
2 1 1 4
Direct
0.000 0.000 0.000
0.500 0.500 0.000
0.000 0.500 0.500
0.500 0.000 0.500
0.258 0.000 0.706
0.284 0.500 0.299
0.716 0.500 0.701
0.742 0.000 0.294

=====

[11]
PBE TbCe2Th2Hg5, relaxed; total moment = 0.19 μB/atom; formation energy from the elements = -131 meV/atom; calculated total energy = -0.126 Ha/atom
1.0
10.878 0.000 0.000
0.000 10.878 0.000
0.000 0.000 4.706
Tb Ce Th Hg
2 4 4 10
Direct
0.000 0.000 0.000
0.500 0.500 0.000
0.132 0.368 0.000
0.368 0.868 0.000
0.632 0.132 0.000
0.868 0.632 0.000
0.175 0.675 0.000
0.325 0.175 0.000
0.675 0.825 0.000
0.825 0.325 0.000
0.000 0.500 0.500
0.103 0.174 0.500
0.174 0.897 0.500
0.326 0.397 0.500
0.397 0.674 0.500
0.500 0.000 0.500
0.603 0.326 0.500
0.674 0.603 0.500
0.826 0.103 0.500
0.897 0.826 0.500

=====

[12]
PBE CaAsSe2, relaxed; uncorrected formation energy = -0.695 eV/atom; total moment = 0.00 μB/atom; calculated total energy = -0.151 Ha/atom
1.0
-1.981 2.698 4.370
1.981 -2.698 4.370
1.981 2.698 -4.370
Ca As Se
1 1 2
Direct
0.000 0.000 0.000
0.500 0.500 0.000
0.298 0.798 0.500
0.702 0.202 0.500

=====

[13]
PBE Ac4Te2IrBr, relaxed; uncorrected formation energy = -1.250 eV/atom; total moment = 0.00 μB/atom; calculated total energy = -0.199 Ha/atom
1.0
8.121 0.000 0.000
0.000 4.448 0.000
-2.486 0.000 7.887
Ac Te Ir Br
4 2 1 1
Direct
0.208 0.000 0.209
0.233 0.500 0.767
0.767 0.500 0.233
0.792 0.000 0.791
0.000 0.000 0.500
0.500 0.500 0.500
0.000 0.500 0.000
0.500 0.000 0.000

=====

[14]
PBE Ac2AsP, relaxed; total moment = 0.00 μB/atom; formation energy from the elements = -1472 meV/atom; calculated total energy = -0.222 Ha/atom
1.0
-3.183 3.183 6.363
3.183 -3.183 6.363
3.183 3.183 -6.363
Ac As P
4 2 2
Direct
0.122 0.372 0.750
0.372 0.122 0.250
0.628 0.878 0.750
0.878 0.628 0.250
0.375 0.625 0.750
0.625 0.375 0.250
0.125 0.875 0.250
0.875 0.125 0.750

=====

[15]
PBE CaPt3, relaxed; total moment = 0.00 μB/atom; formation energy from the elements = -357 meV/atom; calculated total energy = -0.198 Ha/atom
1.0
0.000 3.291 3.291
3.291 0.000 3.291
3.291 3.291 0.000
Ca Pt
1 3
Direct
0.000 0.000 0.000
0.250 0.250 0.250
0.500 0.500 0.500
0.750 0.750 0.750

=====

[16]
PBE Na2AlIrSe, relaxed; uncorrected formation energy = 0.309 eV/atom; total moment = 0.00 μB/atom; calculated total energy = -0.126 Ha/atom
1.0
5.549 0.000 0.000
0.000 5.549 0.000
0.000 0.000 4.564
Na Al Ir Se
2 1 1 1
Direct
0.000 0.500 0.000
0.500 0.000 0.000
0.000 0.000 0.500
0.500 0.500 0.000
0.500 0.500 0.500

=====

[17]
PBE Mg2HgBi, relaxed; total moment = 0.00 μB/atom; formation energy from the elements = 125 meV/atom; calculated total energy = -0.063 Ha/atom
1.0
-1.654 2.809 5.994
1.654 -2.809 5.994
1.654 2.809 -5.994
Mg Hg Bi
2 1 1
Direct
0.244 0.244 0.000
0.756 0.756 0.000
0.000 0.000 0.000
0.500 0.500 0.000

=====

[18]
PBE LaBeZn3, relaxed; total moment = 0.00 μB/atom; formation energy from the elements = 1403 meV/atom; calculated total energy = -0.040 Ha/atom
1.0
5.794 0.000 0.000
0.000 5.794 0.000
0.000 0.000 5.794
La Be Zn
1 1 3
Direct
0.000 0.000 0.000
0.500 0.500 0.500
0.000 0.000 0.500
0.000 0.500 0.000
0.500 0.000 0.000

=====

[19]
PBE Ba2SmUSe6, relaxed; uncorrected formation energy = -1.707 eV/atom; total moment = 0.10 μB/atom; calculated total energy = -0.213 Ha/atom
1.0
7.490 0.000 0.000
0.000 7.923 0.000
-7.469 0.000 10.870
Ba Sm U Se
4 2 2 12
Direct
0.227 0.075 0.250
0.227 0.425 0.750
0.773 0.575 0.250
0.773 0.925 0.750
0.500 0.000 0.000
0.500 0.500 0.500
0.000 0.000 0.500
0.000 0.500 0.000
0.138 0.206 0.950
0.138 0.294 0.450
0.250 0.692 0.952
0.250 0.808 0.452
0.337 0.021 0.743
0.337 0.479 0.243
0.663 0.521 0.757
0.663 0.979 0.257
0.750 0.192 0.548
0.750 0.308 0.048
0.862 0.706 0.550
0.862 0.794 0.050

=====

[20]
PBE HfMgOs2, relaxed; total moment = 0.00 μB/atom; formation energy from the elements = -114 meV/atom; calculated total energy = -0.317 Ha/atom
1.0
4.450 0.000 0.000
0.000 4.450 0.000
0.000 0.000 3.283
Hf Mg Os
1 1 2
Direct
0.000 0.000 0.000
0.500 0.500 0.000
0.000 0.500 0.500
0.500 0.000 0.500

=====

[21]
PBE HfMg2HPt, relaxed; total moment = 0.00 μB/atom; calculated total energy = -0.180 Ha/atom
1.0
4.152 0.000 0.000
0.000 4.152 0.000
0.000 0.000 4.351
Hf Mg H Pt
1 2 1 1
Direct
0.000 0.000 0.000
0.000 0.500 0.500
0.500 0.000 0.500
0.000 0.000 0.500
0.500 0.500 0.000

=====

[22]
PBE Y4CSeS2, relaxed; uncorrected formation energy = -1.596 eV/atom; total moment = 0.00 μB/atom; calculated total energy = -0.274 Ha/atom
1.0
6.720 0.000 0.000
0.000 3.847 0.000
-2.239 0.000 6.511
Y C Se S
4 1 1 2
Direct
0.222 0.000 0.215
0.238 0.500 0.781
0.762 0.500 0.219
0.778 0.000 0.785
0.000 0.500 0.000
0.000 0.000 0.500
0.500 0.000 0.000
0.500 0.500 0.500

=====

[23]
PBE Be2AsPt2, relaxed; total moment = 0.00 μB/atom; formation energy from the elements = -377 meV/atom; calculated total energy = -0.192 Ha/atom
1.0
-1.652 1.652 6.254
1.652 -1.652 6.254
1.652 1.652 -6.254
Be As Pt
2 1 2
Direct
0.250 0.750 0.500
0.750 0.250 0.500
0.000 0.000 0.000
0.383 0.383 0.000
0.617 0.617 0.000

=====

[24]
PBE Ac5Nd6Dy, relaxed; total moment = 0.00 μB/atom; formation energy from the elements = 37 meV/atom; calculated total energy = -0.163 Ha/atom
1.0
-2.711 5.291 8.110
2.711 -5.291 8.110
2.711 5.291 -8.110
Ac Nd Dy
5 6 1
Direct
0.000 0.000 0.000
0.167 0.667 0.500
0.338 0.338 0.000
0.662 0.662 0.000
0.833 0.333 0.500
0.088 0.835 0.253
0.253 0.500 0.753
0.418 0.165 0.253
0.582 0.835 0.747
0.747 0.500 0.247
0.912 0.165 0.747
0.500 0.000 0.500